Entry 1:
The following is a DFT calculation (PBE-GGA) of PmZn3CuPt after structural relaxation.

## Properties
* SG: Cmcm
* formation enthalpy at 0 K: -0.29 eV per atom
* ρ: 8.44 Mg/m³
* density of states at the Fermi level: 5.02 states/eV per cell

```
PmZn3CuPt
1.0
5.4508 0.0000 0.0000
0.0000 7.8057 0.0000
0.0000 -3.9028 5.5487
Pm Zn Cu Pt
2 6 2 2
Direct
0.7500 0.3006 0.6011
0.2500 0.6994 0.3989
0.2500 0.1727 0.3455
0.0000 0.2540 0.0000
0.5000 0.7460 0.0000
0.5000 0.2540 0.0000
0.0000 0.7460 0.0000
0.7500 0.8273 0.6545
0.2500 0.9557 0.9114
0.7500 0.0443 0.0886
0.2500 0.4031 0.8062
0.7500 0.5969 0.1938
```



Entry 2:
The following is a DFT calculation (PBE-GGA) of BeSiTe after structural relaxation.

## Properties
* E_form (uncorrected): 0.99 eV per atom
* SG: F-43m
* ρ: 4.13 Mg/m³
* polymorph energy (0 for the lowest one): 1037 meV per atom
* density of states at the Fermi level: 0.82 states/eV per cell

```
BeSiTe
1.0
4.5426 0.0000 0.0000
2.2713 3.9340 0.0000
2.2713 1.3113 3.7090
Be Si Te
1 1 1
Direct
0.0000 0.0000 0.0000
0.5000 0.5000 0.5000
0.7500 0.7500 0.7500
```



Entry 3:
The following is a DFT calculation (PBE-GGA) of BeTl2W after structural relaxation.

## Properties
* SG: C2/m
* formation enthalpy at 0 K: 1.10 eV per atom
* ρ: 12.91 Mg/m³
* polymorph energy (0 for the lowest one): 420 meV per atom
* density of states at the Fermi level: 1.74 states/eV per cell

```
BeTl2W
1.0
-3.4457 -3.0854 2.4820
-0.9113 -3.3297 3.9541
-1.5523 3.7613 3.2967
Be Tl W
1 2 1
Direct
0.2500 0.2500 0.2500
0.0119 0.0119 0.9991
0.4881 0.4881 0.5009
0.7500 0.7500 0.7500
```



Entry 4:
The following is a DFT calculation (PBE-GGA) of LaY2ScIn4 after structural relaxation.

## Properties
* SG: R-3m
* formation enthalpy at 0 K: -0.45 eV per atom
* ρ: 6.35 Mg/m³
* density of states at the Fermi level: 4.46 states/eV per cell

```
LaY2ScIn4
1.0
-2.8946 0.8397 4.3812
-1.0423 -4.0288 3.3108
6.0043 0.7337 7.0537
La Y Sc In
1 2 1 4
Direct
0.0000 0.0000 0.0000
0.7512 0.7512 0.7463
0.2488 0.2488 0.2537
0.5000 0.5000 0.5000
0.3794 0.3794 0.8618
0.8714 0.8714 0.3858
0.1286 0.1286 0.6142
0.6206 0.6206 0.1382
```



Entry 5:
The following is a DFT calculation (PBE-GGA) of HfScCrAs2 after structural relaxation.

## Properties
* SG: P4/mmm
* formation enthalpy at 0 K: 1.20 eV per atom
* ρ: 5.40 Mg/m³
* polymorph energy (0 for the lowest one): 0 meV per atom
* density of states at the Fermi level: 11.30 states/eV per cell

```
HfScCrAs2
1.0
5.0567 0.0000 0.0000
0.0000 5.1183 0.0000
0.0000 0.0000 5.0567
Sc Cr As Hf
1 1 2 1
Direct
0.0000 0.5000 0.0000
0.5000 0.5000 0.5000
0.0000 0.0000 0.5000
0.5000 0.0000 0.0000
0.0000 0.0000 0.0000
```



Entry 6:
The following is a DFT calculation (PBE-GGA) of Zr3CdC after structural relaxation.

## Properties
* SG: P1
* formation enthalpy at 0 K: -0.30 eV per atom
* ρ: 6.77 Mg/m³
* polymorph energy (0 for the lowest one): 131 meV per atom
* density of states at the Fermi level: 4.48 states/eV per cell

```
Zr3CdC
1.0
-1.6264 -4.1960 -3.4736
4.4821 -2.5652 2.6430
-5.4892 -0.9749 3.2458
C Zr Cd
2 6 2
Direct
0.4694 0.5746 0.5449
0.2081 0.0712 0.6549
0.5714 0.3409 0.7330
0.1161 0.3000 0.4659
0.6225 0.3038 0.2353
0.3209 0.8512 0.8523
0.3557 0.7988 0.3528
0.8327 0.8397 0.6223
0.0919 0.3537 0.9910
0.8392 0.8038 0.1085
```



Entry 7:
The following is a DFT calculation (PBE-GGA) of BaNb2Ru after structural relaxation.

## Properties
* SG: Fm-3m
* formation enthalpy at 0 K: 0.87 eV per atom
* ρ: 8.90 Mg/m³
* polymorph energy (0 for the lowest one): 0 meV per atom
* density of states at the Fermi level: 4.01 states/eV per cell

```
BaNb2Ru
1.0
0.1091 -4.7601 -0.7439
-4.1007 -2.5314 -0.0132
-1.6867 -1.8334 -4.1252
Ru Nb Ba
1 2 1
Direct
0.0000 0.0000 0.0000
0.2500 0.2500 0.2500
0.7500 0.7500 0.7500
0.5000 0.5000 0.5000
```



Entry 8:
The following is a DFT calculation (PBE-GGA) of LiCdBr2 after structural relaxation.

## Properties
* E_form (uncorrected): -0.78 eV per atom
* SG: I-4m2
* ρ: 3.67 Mg/m³
* polymorph energy (0 for the lowest one): 78 meV per atom
* density of states at the Fermi level: 0.94 states/eV per cell

```
LiCdBr2
1.0
-8.2101 -0.2548 -0.7959
-5.7029 -1.4472 -5.7868
6.9773 -1.9239 3.9648
Br Cd Li
2 1 1
Direct
0.0000 0.0000 0.0000
0.2500 0.7500 0.5000
0.5000 0.5000 0.0000
0.7500 0.2500 0.5000
```



Entry 9:
The following is a DFT calculation (PBE-GGA) of SnSbC3 after structural relaxation.

## Properties
* E_form (uncorrected): 2.75 eV per atom
* SG: Pm-3m
* ρ: 5.64 Mg/m³
* polymorph energy (0 for the lowest one): 132 meV per atom
* density of states at the Fermi level: 3.17 states/eV per cell

```
SnSbC3
1.0
4.3350 0.0000 0.0000
0.0000 4.3350 0.0000
0.0000 0.0000 4.3350
Sb C Sn
1 3 1
Direct
0.5000 0.5000 0.5000
0.0000 0.5000 0.0000
0.0000 0.0000 0.5000
0.5000 0.0000 0.0000
0.0000 0.0000 0.0000
```



Entry 10:
The following is a DFT calculation (PBE-GGA) of NbGa3Tc after structural relaxation.

## Properties
* SG: Pm-3m
* formation enthalpy at 0 K: 0.66 eV per atom
* ρ: 6.39 Mg/m³
* polymorph energy (0 for the lowest one): 627 meV per atom
* density of states at the Fermi level: 4.21 states/eV per cell

```
NbGa3Tc
1.0
4.7010 0.0000 0.0000
0.0000 4.7010 0.0000
0.0000 0.0000 4.7010
Nb Tc Ga
1 1 3
Direct
0.5000 0.5000 0.5000
0.0000 0.0000 0.0000
0.0000 0.5000 0.0000
0.0000 0.0000 0.5000
0.5000 0.0000 0.0000
```



Entry 11:
The following is a DFT calculation (PBE-GGA) of CoRh after structural relaxation.

## Properties
* SG: Pbca
* formation enthalpy at 0 K: 0.13 eV per atom
* ρ: 10.34 Mg/m³
* density of states at the Fermi level: 23.60 states/eV per cell

```
CoRh
1.0
-2.3980 -2.3177 -8.8064
2.4715 -3.9356 0.3628
-3.8292 -2.2539 1.6359
Co Rh
8 8
Direct
0.4483 0.1518 0.3271
0.9483 0.3482 0.6729
0.5517 0.6518 0.1729
0.0517 0.8482 0.8271
0.5517 0.8482 0.6729
0.0517 0.6518 0.3271
0.4483 0.3482 0.8271
0.9483 0.1518 0.1729
0.1816 0.3776 0.9422
0.6816 0.1224 0.0578
0.8184 0.8776 0.5578
0.3184 0.6224 0.4422
0.8184 0.6224 0.0578
0.3184 0.8776 0.9422
0.1816 0.1224 0.4422
0.6816 0.3776 0.5578
```



Entry 12:
The following is a DFT calculation (PBE-GGA) of Tb2Y8Sc after structural relaxation.

## Properties
* SG: C2/m
* formation enthalpy at 0 K: 0.19 eV per atom
* ρ: 4.90 Mg/m³
* polymorph energy (0 for the lowest one): 15 meV per atom
* density of states at the Fermi level: 19.57 states/eV per cell

```
Tb2Y8Sc
1.0
-5.4826 -1.3451 0.1341
1.9416 -5.3360 8.1660
0.3815 1.1922 9.8671
Tb Y Sc
2 8 1
Direct
0.7468 0.2828 0.2828
0.2532 0.7172 0.7172
0.2636 0.1356 0.6078
0.2636 0.6078 0.1356
0.7364 0.8644 0.3922
0.2323 0.5470 0.5470
0.7364 0.3922 0.8644
0.2331 0.1833 0.1833
0.7669 0.8167 0.8167
0.7677 0.4530 0.4530
0.0000 0.0000 0.0000
```



Entry 13:
The following is a DFT calculation (PBE-GGA) of CeOsBr after structural relaxation.

## Properties
* E_form (uncorrected): -0.87 eV per atom
* SG: P1
* ρ: 7.67 Mg/m³
* polymorph energy (0 for the lowest one): 21 meV per atom
* density of states at the Fermi level: 12.54 states/eV per cell

```
CeOsBr
1.0
-2.2111 0.8548 3.4715
-3.7295 -2.1682 0.9774
7.8596 -7.1239 4.4020
Os Ce Br
2 2 2
Direct
0.0713 0.7178 0.2166
0.7792 0.3641 0.2166
0.4650 0.1072 0.3931
0.3713 0.9819 0.0402
0.8170 0.5130 0.5606
0.6340 0.2685 0.8726
```



Entry 14:
The following is a DFT calculation (PBE-GGA) of Ce2PmPr after structural relaxation.

## Properties
* SG: Fm-3m
* formation enthalpy at 0 K: 0.28 eV per atom
* ρ: 7.01 Mg/m³
* polymorph energy (0 for the lowest one): 155 meV per atom
* density of states at the Fermi level: 15.90 states/eV per cell

```
Ce2PmPr
1.0
5.7452 0.0000 0.0000
2.8726 4.9755 0.0000
2.8726 1.6585 4.6909
Pr Ce Pm
1 2 1
Direct
0.0000 0.0000 0.0000
0.2500 0.2500 0.2500
0.7500 0.7500 0.7500
0.5000 0.5000 0.5000
```



Entry 15:
The following is a DFT calculation (PBE-GGA) of Ac8ThRh6 after structural relaxation.

## Properties
* SG: R-3
* formation enthalpy at 0 K: -0.63 eV per atom
* ρ: 9.01 Mg/m³
* density of states at the Fermi level: 10.70 states/eV per cell

```
Ac8ThRh6
1.0
7.1297 0.0000 2.3422
3.1802 6.3812 2.3422
0.3512 0.2173 10.9540
Ac Th Rh
8 1 6
Direct
0.7743 0.4418 0.6765
0.8926 0.2257 0.3235
0.5582 0.8926 0.3235
0.3333 0.3333 0.0000
0.6667 0.6667 0.0000
0.4418 0.1074 0.6765
0.1074 0.7743 0.6765
0.2257 0.5582 0.3235
0.0000 0.0000 0.0000
0.9437 0.6236 0.1693
0.7366 0.0563 0.8307
0.3764 0.7366 0.8307
0.6236 0.2634 0.1693
0.2634 0.9437 0.1693
0.0563 0.3764 0.8307
```



Entry 16:
The following is a DFT calculation (PBE-GGA) of Rb2Ga2H after structural relaxation.

## Properties
* SG: I4/mmm
* ρ: 2.93 Mg/m³
* electronic total energy: -1.941 eV/atom
* density of states at the Fermi level: 4.81 states/eV per cell

```
Rb2Ga2H
1.0
-5.9670 -0.5619 3.8390
-3.0507 -3.6717 -5.2793
-3.3352 -5.0895 0.6690
H Ga Rb
1 2 2
Direct
0.0000 0.0000 0.0000
0.3065 0.3065 0.3869
0.6935 0.6935 0.6131
0.7500 0.2500 0.5000
0.2500 0.7500 0.5000
```



Entry 17:
The following is a DFT calculation (PBE-GGA) of Th8CoTe4Rh3 after structural relaxation.

## Properties
* E_form (uncorrected): -0.97 eV per atom
* SG: R-3m
* ρ: 9.84 Mg/m³
* density of states at the Fermi level: 10.57 states/eV per cell

```
Th8CoTe4Rh3
1.0
8.3267 0.0000 0.0000
0.0000 9.0508 0.4937
-4.1633 -4.1543 5.8970
Th Co Te Rh
8 1 4 3
Direct
0.2292 0.6995 0.9705
0.2293 0.6996 0.4585
0.2651 0.2954 0.5302
0.7413 0.6995 0.9705
0.2587 0.3005 0.0295
0.7349 0.7046 0.4698
0.7707 0.3004 0.5415
0.7708 0.3005 0.0295
0.0000 0.5000 0.0000
0.5000 0.0000 0.0000
0.5000 0.0000 0.5000
0.0000 0.0000 0.0000
0.0000 0.0000 0.5000
0.5000 0.5000 0.0000
0.5000 0.5000 0.5000
0.0000 0.5000 0.5000
```



Entry 18:
The following is a DFT calculation (PBE-GGA) of TbPm2Cd4 after structural relaxation.

## Properties
* SG: I4/mmm
* formation enthalpy at 0 K: -0.17 eV per atom
* ρ: 7.30 Mg/m³
* density of states at the Fermi level: 5.11 states/eV per cell

```
TbPm2Cd4
1.0
5.1085 0.0000 -1.6284
-0.5191 5.0821 -1.6284
-0.2494 -0.2762 8.0446
Cd Tb Pm
4 1 2
Direct
0.3886 0.8886 0.7772
0.8886 0.3886 0.7772
0.6114 0.1114 0.2228
0.1114 0.6114 0.2228
0.0000 0.0000 0.0000
0.7401 0.7401 0.4802
0.2599 0.2599 0.5198
```



Entry 19:
The following is a DFT calculation (PBE-GGA) of BaBiPdSe3 after structural relaxation.

## Properties
* E_form (uncorrected): -0.87 eV per atom
* SG: P2_1/m
* ρ: 6.33 Mg/m³
* density of states at the Fermi level: 3.91 states/eV per cell

```
BaBiPdSe3
1.0
-2.9305 -2.5582 2.0286
-3.3132 -2.3515 -7.7518
6.8159 -6.6738 1.4299
Ba Bi Pd Se
2 2 2 6
Direct
0.7500 0.8256 0.7594
0.2500 0.1744 0.2406
0.2500 0.6720 0.1458
0.7500 0.3280 0.8542
0.2500 0.0891 0.5537
0.7500 0.9109 0.4463
0.2500 0.7862 0.4683
0.7500 0.8883 0.1143
0.7500 0.4357 0.1616
0.7500 0.2138 0.5317
0.2500 0.5643 0.8384
0.2500 0.1117 0.8857
```



Entry 20:
The following is a DFT calculation (PBE-GGA) of YPb4 after structural relaxation.

## Properties
* SG: Pm-3m
* formation enthalpy at 0 K: 0.41 eV per atom
* ρ: 7.59 Mg/m³
* polymorph energy (0 for the lowest one): 579 meV per atom
* density of states at the Fermi level: 4.70 states/eV per cell

```
YPb4
1.0
5.8555 0.0000 0.0000
0.0000 5.8555 0.0000
0.0000 0.0000 5.8555
Y Pb
1 4
Direct
0.5000 0.5000 0.5000
0.0000 0.0000 0.0000
0.5000 0.0000 0.5000
0.0000 0.5000 0.5000
0.5000 0.5000 0.0000
```



Entry 21:
The following is a DFT calculation (PBE-GGA) of ReAsPbS2 after structural relaxation.

## Properties
* E_form (uncorrected): 0.40 eV per atom
* SG: P4/mmm
* ρ: 7.28 Mg/m³
* density of states at the Fermi level: 3.18 states/eV per cell

```
ReAsPbS2
1.0
-3.6362 -0.1484 2.5950
-0.6504 -5.9166 -1.2497
2.5549 -1.0247 3.5214
Pb Re As S
1 1 1 2
Direct
0.0000 0.5000 0.0000
0.0000 0.0000 0.0000
0.5000 0.5000 0.5000
0.0000 0.0000 0.5000
0.5000 0.0000 0.0000
```



Entry 22:
The following is a DFT calculation (PBE-GGA) of NaAlHg2Se4 after structural relaxation.

## Properties
* E_form (uncorrected): -0.58 eV per atom
* SG: I222
* ρ: 5.48 Mg/m³

```
NaAlHg2Se4
1.0
6.7911 0.0000 0.0000
3.3956 5.8902 0.1583
3.3956 0.8096 5.8365
Na Al Hg Se
1 1 2 4
Direct
0.0000 0.0000 0.0000
0.0000 0.5000 0.5000
0.5000 0.7086 0.2914
0.5000 0.2914 0.7086
0.6464 0.4649 0.8514
0.3536 0.1486 0.5351
0.9627 0.5351 0.1486
0.0373 0.8514 0.4649
```



Entry 23:
The following is a DFT calculation (PBE-GGA) of Pu2Zn3Au9 after structural relaxation.

## Properties
* SG: C2/c
* formation enthalpy at 0 K: -0.33 eV per atom
* ρ: 14.96 Mg/m³
* density of states at the Fermi level: 64.96 states/eV per cell

```
Pu2Zn3Au9
1.0
-5.3102 -5.8455 1.1363
6.7644 0.1305 4.2291
-3.0941 9.3133 4.8352
Pu Zn Au
4 6 18
Direct
0.3338 0.2497 0.7495
0.6662 0.7503 0.2505
0.0001 0.5843 0.7505
0.9999 0.4157 0.2495
0.5000 0.0000 0.0000
0.5000 0.5000 0.5000
0.8549 0.1776 0.5013
0.1451 0.8224 0.4987
0.1763 0.3536 0.9987
0.8237 0.6464 0.0013
0.4443 0.9168 0.7470
0.5557 0.0832 0.2530
0.6698 0.6974 0.7530
0.3302 0.3026 0.2470
0.4573 0.6477 0.9285
0.5427 0.3523 0.0715
0.2192 0.5288 0.5715
0.7808 0.4712 0.4285
0.8908 0.1408 0.7500
0.1092 0.8592 0.2500
0.1185 0.9765 0.9254
0.8815 0.0235 0.0746
0.5511 0.1931 0.5746
0.4489 0.8069 0.4254
0.8745 0.8567 0.5701
0.1255 0.1433 0.4299
0.7866 0.3044 0.9299
0.2134 0.6956 0.0701
```



Entry 24:
The following is a DFT calculation (PBE-GGA) of TaPb3C after structural relaxation.

## Properties
* SG: Pm-3m
* formation enthalpy at 0 K: 1.80 eV per atom
* ρ: 8.09 Mg/m³
* polymorph energy (0 for the lowest one): 215 meV per atom
* density of states at the Fermi level: 6.29 states/eV per cell

```
TaPb3C
1.0
5.5093 0.0000 0.0000
0.0000 5.5093 0.0000
0.0000 0.0000 5.5093
Pb C Ta
3 1 1
Direct
0.0000 0.5000 0.0000
0.0000 0.0000 0.5000
0.5000 0.0000 0.0000
0.5000 0.5000 0.5000
0.0000 0.0000 0.0000
```